P | Material: TaBe2Mo
Method: DFT, PBE
State: relaxed Values from VASP.

The structure in Quantum ESPRESSO input format:
```
&SYSTEM
  ibrav = 0, nat = 4, ntyp = 3
/
ATOMIC_SPECIES
Ta 180.95 Ta.upf
Be 9.01 Be.upf
Mo 95.94 Mo.upf
CELL_PARAMETERS angstrom
0.000 2.939 2.939
2.939 0.000 2.939
2.939 2.939 0.000
ATOMIC_POSITIONS angstrom
Ta 0.000 0.000 0.000
Be 1.470 1.470 1.470
Be 4.409 4.409 4.409
Mo 2.939 2.939 2.939
```


Q | Material: TaBe2Mo
Method: DFT, PBE
State: relaxed Values from VASP.

The structure in Quantum ESPRESSO input format:
```
&SYSTEM
  ibrav = 0, nat = 4, ntyp = 3
/
ATOMIC_SPECIES
Ta 180.95 Ta.upf
Be 9.01 Be.upf
Mo 95.94 Mo.upf
CELL_PARAMETERS angstrom
-1.846 1.991 3.495
1.846 -1.991 3.495
1.846 1.991 -3.495
ATOMIC_POSITIONS angstrom
Ta 0.000 0.000 0.000
Be 1.846 0.000 1.759
Be 0.000 1.991 1.736
Mo 0.000 0.000 3.495
```


R | Material: TaBe2Mo
Method: DFT, PBE
State: relaxed Values from VASP.

The structure in Quantum ESPRESSO input format:
```
&SYSTEM
  ibrav = 0, nat = 4, ntyp = 3
/
ATOMIC_SPECIES
Ta 180.95 Ta.upf
Be 9.01 Be.upf
Mo 95.94 Mo.upf
CELL_PARAMETERS angstrom
4.629 -1.292 0.000
4.629 1.292 0.000
-1.340 0.000 4.306
ATOMIC_POSITIONS angstrom
Ta 0.000 0.000 0.000
Be 3.498 0.000 2.042
Be 6.794 0.000 0.778
Mo 1.037 0.000 2.777
```


Of them, the most stable is Q and the least stable is P.


P | Material: TaBeMo
Method: DFT, PBE
State: relaxed Values from VASP.

The structure in Quantum ESPRESSO input format:
```
&SYSTEM
  ibrav = 0, nat = 3, ntyp = 3
/
ATOMIC_SPECIES
Ta 180.95 Ta.upf
Be 9.01 Be.upf
Mo 95.94 Mo.upf
CELL_PARAMETERS angstrom
0.000 2.111 5.880
1.736 0.000 5.880
1.736 2.111 0.000
ATOMIC_POSITIONS angstrom
Ta 0.000 0.000 0.000
Be 1.736 2.111 7.709
Mo 1.736 2.111 3.534
```


Q | Material: TaBeMo
Method: DFT, PBE
State: relaxed Values from VASP.

The structure in Quantum ESPRESSO input format:
```
&SYSTEM
  ibrav = 0, nat = 6, ntyp = 3
/
ATOMIC_SPECIES
Ta 180.95 Ta.upf
Be 9.01 Be.upf
Mo 95.94 Mo.upf
CELL_PARAMETERS angstrom
0.000 4.120 4.174
2.435 0.000 4.174
2.435 4.120 0.000
ATOMIC_POSITIONS angstrom
Ta 2.435 1.348 4.174
Ta 2.435 6.892 4.174
Be 1.217 2.060 2.087
Be 3.652 6.180 6.261
Mo 2.435 4.120 2.828
Mo 2.435 4.120 5.521
```


R | Material: TaBeMo
Method: DFT, PBE
State: relaxed Values from VASP.

The structure in Quantum ESPRESSO input format:
```
&SYSTEM
  ibrav = 0, nat = 3, ntyp = 3
/
ATOMIC_SPECIES
Ta 180.95 Ta.upf
Be 9.01 Be.upf
Mo 95.94 Mo.upf
CELL_PARAMETERS angstrom
-1.358 1.358 5.863
1.358 -1.358 5.863
1.358 1.358 -5.863
ATOMIC_POSITIONS angstrom
Ta 0.000 0.000 0.000
Be 0.000 0.000 4.083
Mo 0.000 0.000 8.260
```


Of them, the most stable is Q and the least stable is R.


P | Material: TaBeMo
Method: DFT, PBE
State: relaxed Values from VASP.

The structure in Quantum ESPRESSO input format:
```
&SYSTEM
  ibrav = 0, nat = 6, ntyp = 3
/
ATOMIC_SPECIES
Ta 180.95 Ta.upf
Be 9.01 Be.upf
Mo 95.94 Mo.upf
CELL_PARAMETERS angstrom
4.115 -2.087 0.000
4.115 2.087 0.000
-1.834 0.000 5.014
ATOMIC_POSITIONS angstrom
Ta 0.000 0.000 0.000
Ta 0.939 0.000 2.987
Be 2.434 0.000 0.507
Be 4.086 0.000 1.683
Mo 3.766 0.000 4.149
Mo 6.523 0.000 2.066
```


Q | Material: TaBeMo
Method: DFT, PBE
State: relaxed Values from VASP.

The structure in Quantum ESPRESSO input format:
```
&SYSTEM
  ibrav = 0, nat = 3, ntyp = 3
/
ATOMIC_SPECIES
Ta 180.95 Ta.upf
Be 9.01 Be.upf
Mo 95.94 Mo.upf
CELL_PARAMETERS angstrom
-1.632 1.632 4.115
1.632 -1.632 4.115
1.632 1.632 -4.115
ATOMIC_POSITIONS angstrom
Ta 0.000 0.000 0.000
Be 0.000 0.000 2.709
Mo 0.000 0.000 5.588
```


R | Material: TaBeMo
Method: DFT, PBE
State: relaxed Values from VASP.

The structure in Quantum ESPRESSO input format:
```
&SYSTEM
  ibrav = 0, nat = 3, ntyp = 3
/
ATOMIC_SPECIES
Ta 180.95 Ta.upf
Be 9.01 Be.upf
Mo 95.94 Mo.upf
CELL_PARAMETERS angstrom
4.436 0.000 0.000
-2.218 3.842 0.000
0.000 0.000 2.645
ATOMIC_POSITIONS angstrom
Ta 0.000 0.000 0.000
Be 0.000 2.561 0.998
Mo 2.218 1.281 1.731
```


Of them, the most stable is P and the least stable is R.